1.
A relaxed structure of Re2GeRhI. Source: Alexandria, functional PBE.

Unit cell a=4.6009 b=5.3529 c=4.6009 alpha=90.00 beta=90.00 gamma=90.00
Closest atoms and distances in Å follow each position.
Element x y z (fractional)
Re 0.5000 0.0000 0.0000  2 Ge 2.30
Rh 0.5000 0.5000 0.5000  4 I 3.25, 8 Re 3.53
I 0.0000 0.5000 0.0000  2 Ge 2.68
Re 0.0000 0.0000 0.5000  2 Ge 2.30
Ge 0.0000 0.0000 0.0000  4 Re 2.30

Summary:
Calculated density   9.9 g cm⁻³
Formation energy without anion corrections   2266 meV/atom
Crystal system   tetragonal
SG   P4/mmm, No. 123

=====

2.
A relaxed structure of Sr2InNiBr. Source: Alexandria, functional PBE.

Unit cell a=6.3219 b=4.7077 c=6.3219 alpha=90.00 beta=90.00 gamma=90.00
Closest atoms and distances in Å follow each position.
Element x y z (fractional)
Sr 0.5000 0.0000 0.0000  2 In 3.16
Br 0.5000 0.5000 0.5000  8 Sr 3.94
Sr 0.0000 0.0000 0.5000  2 In 3.16
In 0.0000 0.0000 0.0000  2 Ni 2.35
Ni 0.0000 0.5000 0.0000  2 In 2.35

Summary:
Calculated density   3.8 g cm⁻³
Formation energy without anion corrections   -263 meV/atom
Crystal system   tetragonal
SG   P4/mmm, No. 123

=====

3.
A relaxed structure of TaSb2TePd. Source: Alexandria, functional PBE.

Unit cell a=5.3427 b=5.3427 c=5.3051 alpha=90.00 beta=90.00 gamma=90.00
Closest atoms and distances in Å follow each position.
Element x y z (fractional)
Ta 0.0000 0.0000 0.0000  2 Te 2.65, 4 Sb 2.67
Te 0.0000 0.0000 0.5000  2 Ta 2.65
Sb 0.5000 0.0000 0.0000  2 Ta 2.67
Sb 0.0000 0.5000 0.0000  2 Ta 2.67
Pd 0.5000 0.5000 0.5000  8 Sb 3.76, 4 Te 3.78

Summary:
Calculated density   7.2 g cm⁻³
Formation energy without anion corrections   631 meV/atom
Crystal system   tetragonal
SG   P4/mmm, No. 123

=====

| no. | N(E_F) (states/eV/f.u.) |
| --- | --- |
| 1 | 9.5 |
| 2 | 3.9 |
| 3 | 3.9 |